# Mg2TlBr

A geometry-optimized Mg2TlBr structure (GGA-PBE, Alexandria).

Values from the calculation:
**Energy above the most stable polymorph in this dataset**: 232.2 meV/atom
**Raw formation energy**: -12.8 kJ/mol of atoms

Cell lengths 6.519, 6.519, 6.519 Å; angles 139.00, 139.00, 59.37 degrees
Atoms (fractional coordinates):
Mg1 0.000 0.000 0.000
Mg2 0.500 0.500 0.000
Br1 0.750 0.250 0.500
Tl1 0.250 0.750 0.500